Record 1
A relaxed Ba2PtBr crystal. Source: Alexandria via LeMat-Bulk, functional GGA-PBEsol.

```
Ba2PtBr
1.0
4.462 0.000 0.000
2.231 3.864 0.000
2.231 1.288 8.150
Pt Ba Br
1 2 1
direct
0.000 0.000 0.000
0.262 0.262 0.215
0.738 0.738 0.785
0.500 0.500 0.500
```

Output
Energy relative to the elements, uncorrected = -1.21 eV per atom
Symmetry = R-3m, No. 166

***

Record 2
A relaxed AlTl2Cu crystal. Source: Alexandria via LeMat-Bulk, functional GGA-PBEsol.

```
AlTl2Cu
1.0
-3.192 -0.025 1.106
-0.638 -0.038 3.317
-1.311 8.388 1.564
Tl Al Cu
2 1 1
direct
0.257 0.257 0.228
0.743 0.743 0.772
0.500 0.500 0.500
0.000 0.000 0.000
```

Output
Energy of formation from the pure elements = 0.31 eV/atom
Symmetry = R-3m, No. 166

***

Record 3
A relaxed Tl2Hg crystal. Source: Alexandria via LeMat-Bulk, functional GGA-PBEsol.

```
Tl2Hg
1.0
-1.633 3.101 -0.773
-3.173 -1.479 0.768
3.000 0.977 5.916
Tl Hg
2 1
direct
0.341 0.341 0.683
0.659 0.659 0.317
0.000 0.000 0.000
```

Output
Energy of formation from the pure elements = 0.00 eV/atom
Symmetry = I4/mmm, No. 139

***

Record 4
A relaxed Be3CdBr crystal. Source: Alexandria via LeMat-Bulk, functional GGA-PBEsol.

```
Be3CdBr
1.0
4.444 0.000 0.000
0.000 4.444 0.000
0.000 0.000 4.444
Be Br Cd
3 1 1
direct
0.000 0.500 0.000
0.000 0.000 0.500
0.500 0.000 0.000
0.000 0.000 0.000
0.500 0.500 0.500
```

Output
Energy relative to the elements, uncorrected = 1.34 eV per atom
Symmetry = Pm-3m, No. 221

***

Record 5
A relaxed Te2AsBr crystal. Source: Alexandria via LeMat-Bulk, functional GGA-PBEsol.

```
Te2AsBr
1.0
-3.865 0.263 -0.890
-0.904 -4.812 2.503
-0.592 4.157 3.801
As Te Br
1 2 1
direct
0.500 0.000 0.500
0.000 0.183 0.882
0.000 0.817 0.118
0.500 0.500 0.500
```

Output
Energy relative to the elements, uncorrected = -0.05 eV per atom
Symmetry = P2/m, No. 10

***

Record 6
A relaxed Hg2Pd2Rh crystal. Source: Alexandria via LeMat-Bulk, functional GGA-PBEsol.

```
Hg2Pd2Rh
1.0
4.763 0.000 0.000
0.000 4.763 0.000
0.000 0.000 5.061
Rh Hg Pd
1 2 2
direct
0.000 0.000 0.000
0.500 0.500 0.500
0.000 0.000 0.500
0.000 0.500 0.000
0.500 0.000 0.000
```

Output
Energy of formation from the pure elements = 0.91 eV/atom
Symmetry = P4/mmm, No. 123

***

Record 7
A relaxed ThAlNi crystal. Source: Alexandria via LeMat-Bulk, functional GGA-PBEsol.

```
ThAlNi
1.0
4.065 0.000 0.000
0.000 6.933 0.000
0.000 -3.467 6.004
Ni Al Th
3 3 3
direct
0.500 0.667 0.333
0.000 0.000 0.000
0.500 0.333 0.667
0.500 0.230 0.000
0.500 0.770 0.770
0.500 0.000 0.230
0.000 0.000 0.578
0.000 0.578 0.000
0.000 0.422 0.422
```

Output
Energy of formation from the pure elements = -0.60 eV/atom
Symmetry = P-62m, No. 189

***

Record 8
A relaxed MnSb4 crystal. Source: Alexandria via LeMat-Bulk, functional GGA-PBEsol.

```
MnSb4
1.0
-0.264 -4.227 -4.071
-2.844 -0.682 5.131
-5.868 0.231 0.141
Mn Sb
1 4
direct
0.000 0.000 0.000
0.250 0.500 0.250
0.750 0.500 0.750
0.318 0.636 0.682
0.682 0.364 0.318
```

Output
Energy relative to the elements, uncorrected = 0.51 eV per atom
Symmetry = I4/mmm, No. 139

***

Number 1: electronic total energy -4.490 eV per atom. Number 2: electronic total energy -3.114 eV per atom. Number 3: electronic total energy -1.945 eV per atom. Number 4: electronic total energy -1.675 eV per atom. Number 5: electronic total energy -3.558 eV per atom. Number 6: electronic total energy -3.329 eV per atom. Number 7: electronic total energy -6.714 eV per atom. Number 8: electronic total energy -5.086 eV per atom.